The following is a PBE-GGA calculation of an optimized crystal structure of Nd2Sn8Pd, from Alexandria via LeMat-Bulk.

a = 4.722 Å, b = 4.722 Å, c = 13.074 Å
α = 90.00°, β = 90.00°, γ = 90.00°
Fractional positions:
Sn 0.000 0.500 0.124
Sn 0.500 0.000 0.500
Sn 0.500 0.000 0.124
Nd 0.000 0.000 0.325
Sn 0.500 0.500 0.304
Nd 0.000 0.000 0.675
Sn 0.000 0.500 0.500
Sn 0.500 0.000 0.876
Pd 0.000 0.000 0.000
Sn 0.500 0.500 0.696
Sn 0.000 0.500 0.876

Summary:
As for the symmetry: No. 123. The value obtained for the electronic total energy is -51.36 eV for the cell shown. The value obtained for the magnetization is 0.00 μB/f.u. For the formation energy, the calculation gives -0.4190 eV/atom.